TmH3O3 | the Alexandria database | meta-GGA SCAN | PBEsol geometry; space-group type = P2_1/c (14); energy above the most stable polymorph in this dataset = 48.4 meV/atom; total moment = 0.0000 μB per atom
1.0
4.844 0.000 0.000
0.000 10.228 0.000
-0.843 0.000 5.666
Tm H O
4 12 12
Direct
0.075 0.157 0.110
0.075 0.343 0.610
0.925 0.657 0.390
0.925 0.843 0.890
0.184 0.583 0.838
0.184 0.917 0.338
0.353 0.702 0.112
0.353 0.798 0.612
0.480 0.138 0.816
0.480 0.362 0.316
0.520 0.638 0.684
0.520 0.862 0.184
0.647 0.202 0.388
0.647 0.298 0.888
0.816 0.083 0.662
0.816 0.417 0.162
0.153 0.673 0.082
0.153 0.827 0.582
0.206 0.546 0.677
0.206 0.954 0.177
0.347 0.209 0.846
0.347 0.291 0.346
0.653 0.709 0.654
0.653 0.791 0.154
0.794 0.046 0.823
0.794 0.454 0.323
0.847 0.173 0.418
0.847 0.327 0.918